[1]
The following is a DFT calculation (PBE-GGA) of a relaxed structure of CdTcPb4.

Calculated values
energy of formation from the pure elements = 0.832 eV/atom
M_tot = 3.431 μB/f.u.
total energy = -84.5 eV per cell

Structure (CIF):
```
data_CdTcPb4
_cell_length_a 8.9891
_cell_length_b 8.9891
_cell_length_c 8.9891
_cell_angle_alpha 90.00
_cell_angle_beta 90.00
_cell_angle_gamma 90.00
_space_group_name_H-M_alt 'F -4 3 m'
_space_group_IT_number 216
_space_group_name_Hall 'F -4 2 3'
loop_
_atom_site_label
_atom_site_fract_x
_atom_site_fract_y
_atom_site_fract_z
Cd1 0.0000 0.0000 0.0000
Tc1 0.2500 0.2500 0.2500
Pb1 0.1245 0.1245 0.6245
```


[2]
The following is a DFT calculation (PBE-GGA) of a relaxed structure of RbV3Rh.

Calculated values
energy of formation from the pure elements = 2.590 eV/atom
M_tot = 0.000 μB/f.u.
total energy = -22.7 eV per cell

Structure (CIF):
```
data_RbV3Rh
_cell_length_a 4.4302
_cell_length_b 4.4302
_cell_length_c 4.4302
_cell_angle_alpha 90.00
_cell_angle_beta 90.00
_cell_angle_gamma 90.00
_space_group_name_H-M_alt 'P m -3 m'
_space_group_IT_number 221
_space_group_name_Hall '-P 4 2 3'
loop_
_atom_site_label
_atom_site_fract_x
_atom_site_fract_y
_atom_site_fract_z
Rb1 0.0000 0.0000 0.0000
V1 0.0000 0.0000 0.5000
Rh1 0.5000 0.5000 0.5000
```


[3]
The following is a DFT calculation (PBE-GGA) of a relaxed structure of VTcAs2Se.

Calculated values
M_tot = 0.112 μB/f.u.
formation energy (no corrections) = 0.9282 eV/atom
total energy = -27.6 eV per cell

Structure (CIF):
```
data_VTcAs2Se
_cell_length_a 4.6641
_cell_length_b 4.6641
_cell_length_c 5.2509
_cell_angle_alpha 90.00
_cell_angle_beta 90.00
_cell_angle_gamma 90.00
_space_group_name_H-M_alt 'P 4/m m m'
_space_group_IT_number 123
_space_group_name_Hall '-P 4 2'
loop_
_atom_site_label
_atom_site_fract_x
_atom_site_fract_y
_atom_site_fract_z
V1 0.0000 0.0000 0.0000
Tc1 0.5000 0.5000 0.5000
As1 0.0000 0.5000 0.5000
Se1 0.5000 0.5000 0.0000
```


[4]
The following is a DFT calculation (PBE-GGA) of a relaxed structure of LiInAgPb.

Calculated values
energy of formation from the pure elements = -0.096 eV/atom
M_tot = 0.000 μB/f.u.
total energy = -46.4 eV per cell

Structure (CIF):
```
data_LiInAgPb
_cell_length_a 7.0912
_cell_length_b 7.0912
_cell_length_c 7.0912
_cell_angle_alpha 90.00
_cell_angle_beta 90.00
_cell_angle_gamma 90.00
_space_group_name_H-M_alt 'F -4 3 m'
_space_group_IT_number 216
_space_group_name_Hall 'F -4 2 3'
loop_
_atom_site_label
_atom_site_fract_x
_atom_site_fract_y
_atom_site_fract_z
Li1 0.0000 0.0000 0.0000
In1 0.2500 0.2500 0.7500
Ag1 0.0000 0.0000 0.5000
Pb1 0.2500 0.2500 0.2500
```


[5]
The following is a DFT calculation (PBE-GGA) of a relaxed structure of Rb4Np3AlTe8.

Calculated values
M_tot = 11.696 μB/f.u.
formation energy (no corrections) = -0.7940 eV/atom
total energy = -168.5 eV per cell

Structure (CIF):
```
data_Rb4Np3AlTe8
_cell_length_a 15.8124
_cell_length_b 9.1102
_cell_length_c 9.9560
_cell_angle_alpha 90.00
_cell_angle_beta 122.04
_cell_angle_gamma 90.00
_space_group_name_H-M_alt 'C 1 2/m 1'
_space_group_IT_number 12
_space_group_name_Hall '-C 2y'
loop_
_atom_site_label
_atom_site_fract_x
_atom_site_fract_y
_atom_site_fract_z
Rb1 0.0000 0.0000 0.0000
Rb2 0.0000 0.5000 0.0000
Rb3 0.2500 0.2500 0.0000
Np1 0.0000 0.0000 0.5000
Np2 0.2500 0.2500 0.5000
Al1 0.0000 0.5000 0.5000
Te1 0.0161 0.2624 0.3108
Te2 0.2209 0.5000 0.6884
Te3 0.2335 0.0000 0.7012
```


[6]
The following is a DFT calculation (PBE-GGA) of a relaxed structure of Ba2AlCd2.

Calculated values
energy of formation from the pure elements = -0.072 eV/atom
M_tot = 0.000 μB/f.u.
total energy = -19.6 eV per cell

Structure (CIF):
```
data_Ba2AlCd2
_cell_length_a 4.2178
_cell_length_b 4.2178
_cell_length_c 20.6137
_cell_angle_alpha 90.00
_cell_angle_beta 90.00
_cell_angle_gamma 90.00
_space_group_name_H-M_alt 'I 4/m m m'
_space_group_IT_number 139
_space_group_name_Hall '-I 4 2'
loop_
_atom_site_label
_atom_site_fract_x
_atom_site_fract_y
_atom_site_fract_z
Ba1 0.0000 0.0000 0.0965
Al1 0.0000 0.0000 0.5000
Cd1 0.0000 0.5000 0.2500
```


[7]
The following is a DFT calculation (PBE-GGA) of a relaxed structure of CaIn2Sb.

Calculated values
M_tot = 0.000 μB/f.u.
formation energy (no corrections) = -0.2651 eV/atom
total energy = -50.6 eV per cell

Structure (CIF):
```
data_CaIn2Sb
_cell_length_a 7.6972
_cell_length_b 7.6972
_cell_length_c 7.6972
_cell_angle_alpha 90.00
_cell_angle_beta 90.00
_cell_angle_gamma 90.00
_space_group_name_H-M_alt 'F -4 3 m'
_space_group_IT_number 216
_space_group_name_Hall 'F -4 2 3'
loop_
_atom_site_label
_atom_site_fract_x
_atom_site_fract_y
_atom_site_fract_z
Ca1 0.0000 0.0000 0.0000
In1 0.0000 0.0000 0.5000
In2 0.2500 0.2500 0.7500
Sb1 0.2500 0.2500 0.2500
```


[8]
The following is a DFT calculation (PBE-GGA) of a relaxed structure of BeRuW2.

Calculated values
energy of formation from the pure elements = 0.737 eV/atom
M_tot = 0.000 μB/f.u.
total energy = -143.8 eV per cell

Structure (CIF):
```
data_BeRuW2
_cell_length_a 7.2544
_cell_length_b 7.2544
_cell_length_c 4.5021
_cell_angle_alpha 90.00
_cell_angle_beta 90.00
_cell_angle_gamma 90.00
_space_group_name_H-M_alt 'I -4 2 d'
_space_group_IT_number 122
_space_group_name_Hall 'I -4 2bw'
loop_
_atom_site_label
_atom_site_fract_x
_atom_site_fract_y
_atom_site_fract_z
Be1 0.0000 0.0000 0.0000
Ru1 0.0000 0.0000 0.5000
W1 0.1607 0.2500 0.1250
```